Record 1
2
Lattice="0.000 3.499 3.499 3.499 0.000 3.499 3.499 3.499 0.000" Properties=species:S:1:pos:R:3 comment="PBE-GGA RbCu, optimized geometry" spacegroup=Fm-3m formation_energy_mev_per_atom=536 crystal_system=cubic pbc="T T T"
Rb 0.000 0.000 0.000
Cu 3.499 3.499 3.499

---

Record 2
5
Lattice="6.427 0.000 0.000 0.000 6.427 0.000 0.000 0.000 6.427" Properties=species:S:1:pos:R:3 comment="PBE-GGA Rb3CuRe, optimized geometry" spacegroup=Pm-3m formation_energy_mev_per_atom=1546 crystal_system=cubic polymorph_energy_mev_per_atom=0.0 pbc="T T T"
Rb 0.000 0.000 3.213
Rb 0.000 3.213 0.000
Rb 3.213 0.000 0.000
Cu 0.000 0.000 0.000
Re 3.213 3.213 3.213

---

Record 3
4
Lattice="0.000 3.222 3.222 3.222 0.000 3.222 3.222 3.222 0.000" Properties=species:S:1:pos:R:3 comment="PBE-GGA RbCuRe2, optimized geometry" spacegroup=Fm-3m formation_energy_mev_per_atom=2410 crystal_system=cubic polymorph_energy_mev_per_atom=621.8 pbc="T T T"
Rb 0.000 0.000 0.000
Cu 3.222 3.222 3.222
Re 1.611 1.611 1.611
Re 4.832 4.832 4.832

---

Repeat the third record exactly.
4
Lattice="0.000 3.222 3.222 3.222 0.000 3.222 3.222 3.222 0.000" Properties=species:S:1:pos:R:3 comment="PBE-GGA RbCuRe2, optimized geometry" spacegroup=Fm-3m formation_energy_mev_per_atom=2410 crystal_system=cubic polymorph_energy_mev_per_atom=621.8 pbc="T T T"
Rb 0.000 0.000 0.000
Cu 3.222 3.222 3.222
Re 1.611 1.611 1.611
Re 4.832 4.832 4.832